# SCAN TlCoRh2, single point on PBEsol structure
data_TlCoRh2
_chemical_formula_sum 'Tl1 Co1 Rh2'
_cell_length_a 2.881
_cell_length_b 2.881
_cell_length_c 7.078
_cell_angle_alpha 90.00
_cell_angle_beta 90.00
_cell_angle_gamma 90.00
_space_group_name_H-M_alt 'P 4/m m m'
_space_group_IT_number 123
_space_group_name_Hall '-P 4 2'
loop_
_atom_site_label
_atom_site_fract_x
_atom_site_fract_y
_atom_site_fract_z
Tl1 0.000 0.000 0.000
Co1 0.000 0.000 0.500
Rh1 0.500 0.500 0.284
# Energy relative to the elements (kcal/mol of atoms): 3.42
# D(E_F) (states/eV/cell): 2.37
# Total moment (μB/atom): 0.875